# ScCdNi2 (PBE, optimized geometry)
data_ScCdNi2
_chemical_formula_sum 'Sc4 Cd4 Ni8'
_symmetry_space_group_name_H-M 'P 1'
_symmetry_Int_Tables_number 1
_symmetry_space_group_name_Hall 'P 1'
_cell_length_a 6.263
_cell_length_b 6.263
_cell_length_c 6.263
_cell_angle_alpha 90.00
_cell_angle_beta 90.00
_cell_angle_gamma 90.00
loop_
_atom_site_label
_atom_site_type_symbol
_atom_site_fract_x
_atom_site_fract_y
_atom_site_fract_z
_atom_site_occupancy
Sc1 Sc 0.000 0.000 0.000 1
Sc2 Sc 0.000 0.500 0.500 1
Sc3 Sc 0.500 0.000 0.500 1
Sc4 Sc 0.500 0.500 0.000 1
Cd1 Cd 0.250 0.250 0.750 1
Cd2 Cd 0.250 0.750 0.250 1
Cd3 Cd 0.750 0.250 0.250 1
Cd4 Cd 0.750 0.750 0.750 1
Ni1 Ni 0.000 0.000 0.500 1
Ni2 Ni 0.000 0.500 0.000 1
Ni3 Ni 0.250 0.250 0.250 1
Ni4 Ni 0.250 0.750 0.750 1
Ni5 Ni 0.500 0.000 0.000 1
Ni6 Ni 0.500 0.500 0.500 1
Ni7 Ni 0.750 0.250 0.750 1
Ni8 Ni 0.750 0.750 0.250 1
# E_tot ... -4.687 eV per atom

***

# ScCdSiNi (PBE, optimized geometry)
data_ScCdSiNi
_chemical_formula_sum 'Sc4 Cd4 Si4 Ni4'
_symmetry_space_group_name_H-M 'P 1'
_symmetry_Int_Tables_number 1
_symmetry_space_group_name_Hall 'P 1'
_cell_length_a 6.365
_cell_length_b 6.365
_cell_length_c 6.365
_cell_angle_alpha 90.00
_cell_angle_beta 90.00
_cell_angle_gamma 90.00
loop_
_atom_site_label
_atom_site_type_symbol
_atom_site_fract_x
_atom_site_fract_y
_atom_site_fract_z
_atom_site_occupancy
Sc1 Sc 0.000 0.000 0.000 1
Sc2 Sc 0.000 0.500 0.500 1
Sc3 Sc 0.500 0.000 0.500 1
Sc4 Sc 0.500 0.500 0.000 1
Cd1 Cd 0.250 0.250 0.750 1
Cd2 Cd 0.250 0.750 0.250 1
Cd3 Cd 0.750 0.250 0.250 1
Cd4 Cd 0.750 0.750 0.750 1
Si1 Si 0.250 0.250 0.250 1
Si2 Si 0.250 0.750 0.750 1
Si3 Si 0.750 0.250 0.750 1
Si4 Si 0.750 0.750 0.250 1
Ni1 Ni 0.000 0.000 0.500 1
Ni2 Ni 0.000 0.500 0.000 1
Ni3 Ni 0.500 0.000 0.000 1
Ni4 Ni 0.500 0.500 0.500 1
# E_tot ... -4.748 eV per atom

***

# ScCdNiSn (PBE, optimized geometry)
data_ScCdNiSn
_chemical_formula_sum 'Sc4 Cd4 Ni4 Sn4'
_symmetry_space_group_name_H-M 'P 1'
_symmetry_Int_Tables_number 1
_symmetry_space_group_name_Hall 'P 1'
_cell_length_a 6.652
_cell_length_b 6.652
_cell_length_c 6.652
_cell_angle_alpha 90.00
_cell_angle_beta 90.00
_cell_angle_gamma 90.00
loop_
_atom_site_label
_atom_site_type_symbol
_atom_site_fract_x
_atom_site_fract_y
_atom_site_fract_z
_atom_site_occupancy
Sc1 Sc 0.000 0.000 0.000 1
Sc2 Sc 0.000 0.500 0.500 1
Sc3 Sc 0.500 0.000 0.500 1
Sc4 Sc 0.500 0.500 0.000 1
Cd1 Cd 0.250 0.250 0.750 1
Cd2 Cd 0.250 0.750 0.250 1
Cd3 Cd 0.750 0.250 0.250 1
Cd4 Cd 0.750 0.750 0.750 1
Ni1 Ni 0.000 0.000 0.500 1
Ni2 Ni 0.000 0.500 0.000 1
Ni3 Ni 0.500 0.000 0.000 1
Ni4 Ni 0.500 0.500 0.500 1
Sn1 Sn 0.250 0.250 0.250 1
Sn2 Sn 0.250 0.750 0.750 1
Sn3 Sn 0.750 0.250 0.750 1
Sn4 Sn 0.750 0.750 0.250 1
# E_tot ... -4.415 eV per atom

***

# ScTlCdNi (PBE, optimized geometry)
data_ScTlCdNi
_chemical_formula_sum 'Sc4 Tl4 Cd4 Ni4'
_symmetry_space_group_name_H-M 'P 1'
_symmetry_Int_Tables_number 1
_symmetry_space_group_name_Hall 'P 1'
_cell_length_a 6.687
_cell_length_b 6.687
_cell_length_c 6.687
_cell_angle_alpha 90.00
_cell_angle_beta 90.00
_cell_angle_gamma 90.00
loop_
_atom_site_label
_atom_site_type_symbol
_atom_site_fract_x
_atom_site_fract_y
_atom_site_fract_z
_atom_site_occupancy
Sc1 Sc 0.000 0.000 0.000 1
Sc2 Sc 0.000 0.500 0.500 1
Sc3 Sc 0.500 0.000 0.500 1
Sc4 Sc 0.500 0.500 0.000 1
Tl1 Tl 0.250 0.250 0.250 1
Tl2 Tl 0.250 0.750 0.750 1
Tl3 Tl 0.750 0.250 0.750 1
Tl4 Tl 0.750 0.750 0.250 1
Cd1 Cd 0.250 0.250 0.750 1
Cd2 Cd 0.250 0.750 0.250 1
Cd3 Cd 0.750 0.250 0.250 1
Cd4 Cd 0.750 0.750 0.750 1
Ni1 Ni 0.000 0.000 0.500 1
Ni2 Ni 0.000 0.500 0.000 1
Ni3 Ni 0.500 0.000 0.000 1
Ni4 Ni 0.500 0.500 0.500 1
# E_tot ... -3.878 eV per atom

***

# CdNiSnSe3 (PBE, optimized geometry)
data_CdNiSnSe3
_chemical_formula_sum 'Cd2 Ni2 Sn2 Se6'
_symmetry_space_group_name_H-M 'P 1'
_symmetry_Int_Tables_number 1
_symmetry_space_group_name_Hall 'P 1'
_cell_length_a 7.588
_cell_length_b 7.588
_cell_length_c 10.956
_cell_angle_alpha 90.00
_cell_angle_beta 90.00
_cell_angle_gamma 151.99
loop_
_atom_site_label
_atom_site_type_symbol
_atom_site_fract_x
_atom_site_fract_y
_atom_site_fract_z
_atom_site_occupancy
Cd1 Cd 0.025 0.975 0.750 1
Cd2 Cd 0.975 0.025 0.250 1
Ni1 Ni 0.500 0.500 0.000 1
Ni2 Ni 0.500 0.500 0.500 1
Sn1 Sn 0.304 0.696 0.750 1
Sn2 Sn 0.696 0.304 0.250 1
Se1 Se 0.094 0.906 0.060 1
Se2 Se 0.094 0.906 0.440 1
Se3 Se 0.335 0.665 0.250 1
Se4 Se 0.665 0.335 0.750 1
Se5 Se 0.906 0.094 0.560 1
Se6 Se 0.906 0.094 0.940 1
# Excess energy over the best structure of this formula in the dataset ... 21.4 meV/atom

***

# CdNiSnSe3 (PBE, optimized geometry)
data_CdNiSnSe3
_chemical_formula_sum 'Cd2 Ni2 Sn2 Se6'
_symmetry_space_group_name_H-M 'P 1'
_symmetry_Int_Tables_number 1
_symmetry_space_group_name_Hall 'P 1'
_cell_length_a 7.220
_cell_length_b 7.220
_cell_length_c 10.142
_cell_angle_alpha 90.00
_cell_angle_beta 90.00
_cell_angle_gamma 149.59
loop_
_atom_site_label
_atom_site_type_symbol
_atom_site_fract_x
_atom_site_fract_y
_atom_site_fract_z
_atom_site_occupancy
Cd1 Cd 0.000 0.000 0.000 1
Cd2 Cd 0.000 0.000 0.500 1
Ni1 Ni 0.473 0.527 0.750 1
Ni2 Ni 0.527 0.473 0.250 1
Sn1 Sn 0.239 0.761 0.250 1
Sn2 Sn 0.761 0.239 0.750 1
Se1 Se 0.079 0.921 0.750 1
Se2 Se 0.355 0.645 0.574 1
Se3 Se 0.355 0.645 0.926 1
Se4 Se 0.645 0.355 0.074 1
Se5 Se 0.645 0.355 0.426 1
Se6 Se 0.921 0.079 0.250 1
# Excess energy over the best structure of this formula in the dataset ... 0.0 meV/atom